Record 1
A geometry-optimized Ta3As5 structure, computed with PBE.

```
Ta3As5
1.0
-3.358 4.170 0.846
-3.410 -3.295 -2.626
-1.336 -1.915 4.137
As Ta
5 3
Direct
0.299 0.299 0.500
0.500 0.000 0.000
0.701 0.701 0.500
0.000 0.000 0.000
0.000 0.500 0.000
0.778 0.222 0.500
0.222 0.778 0.500
0.500 0.500 0.000
```

Computed properties:
**Relative energy among the computed polymorphs**: 0.169 eV per atom
**ΔH_f (0 K)**: 0.016 eV per formula unit


Record 2
A geometry-optimized VOs3W structure, computed with PBE.

```
VOs3W
1.0
-1.710 -2.021 3.543
3.548 1.159 2.373
-2.013 3.759 1.173
Os V W
3 1 1
Direct
0.500 0.000 0.000
0.000 0.000 0.500
0.000 0.500 0.000
0.000 0.000 0.000
0.500 0.500 0.500
```

Computed properties:
**Relative energy among the computed polymorphs**: 0.000 eV per atom
**ΔH_f (0 K)**: 9.043 eV per formula unit


Record 3
A geometry-optimized K3Ac2BiS6 structure, computed with PBE.

```
K3Ac2BiS6
1.0
7.511 -0.001 0.001
-3.754 6.506 0.001
-1.253 -2.169 7.439
K Bi S Ac
3 1 6 2
Direct
0.164 0.836 0.500
0.500 0.500 0.500
0.836 0.164 0.500
0.000 0.000 0.000
0.607 0.929 0.787
0.748 0.748 0.212
0.071 0.393 0.213
0.252 0.252 0.788
0.929 0.607 0.787
0.393 0.071 0.213
0.333 0.667 0.000
0.667 0.333 0.000
```

Computed properties:
**Formation energy from raw total energies**: -1.53 eV per atom


Record 4
A geometry-optimized Ca3Mn5Cl16 structure, computed with PBE.

```
Ca3Mn5Cl16
1.0
-1.494 -6.142 -4.496
-1.240 -6.942 3.230
-11.674 2.086 0.600
Cl Mn Ca
16 5 3
Direct
0.827 0.827 0.416
0.484 0.484 0.146
0.015 0.015 0.174
0.184 0.661 0.903
0.032 0.474 0.152
0.474 0.032 0.152
0.172 0.172 0.898
0.839 0.346 0.403
0.516 0.516 0.659
0.346 0.839 0.403
0.503 0.964 0.656
0.654 0.654 0.904
0.318 0.318 0.410
0.661 0.184 0.903
0.014 0.014 0.680
0.964 0.503 0.656
0.661 0.661 0.523
0.337 0.833 0.789
0.170 0.170 0.286
0.833 0.337 0.789
0.330 0.330 0.016
0.169 0.664 0.289
0.832 0.832 0.788
0.664 0.169 0.289
```

Computed properties:
**Formation energy from raw total energies**: -1.55 eV per atom


What is the formula in the second record? VOs3W


Which formula does entry 1 have? Ta3As5